Entry 1:
ThSi2SnIr5, optimized geometry, DFT GGA-PBE; calculated density = 13.0 Mg/m³; raw formation energy = -0.45 eV/atom
1.0
-0.791 -3.979 -0.137
0.461 -0.230 4.026
-10.346 2.012 1.299
Th Si Sn Ir
1 2 1 5
Direct
0.000 0.000 0.500
0.500 0.500 0.279
0.500 0.500 0.721
0.000 0.000 0.000
0.000 0.500 0.170
0.500 0.000 0.170
0.000 0.500 0.830
0.500 0.000 0.830
0.500 0.500 0.500

---

Entry 2:
Ce2Pm2ZnGa4, optimized geometry, DFT GGA-PBE; calculated formation energy = -286 meV per atom; calculated density = 6.9 Mg/m³
1.0
-5.686 0.487 -3.374
-0.465 -3.515 5.601
2.245 5.768 2.376
Ce Pm Zn Ga
2 2 1 4
Direct
0.000 0.662 0.662
0.000 0.338 0.338
0.500 0.750 0.250
0.500 0.250 0.750
0.000 0.000 0.000
0.000 0.765 0.235
0.530 0.765 0.765
0.000 0.235 0.765
0.470 0.235 0.235

---

Entry 3:
LaPrSN, optimized geometry, DFT GGA-PBE; calculated density = 6.3 Mg/m³; raw formation energy = -1.73 eV/atom
1.0
3.851 0.000 0.000
1.926 3.335 0.000
1.926 1.112 6.657
La Pr S N
1 1 1 1
Direct
0.513 0.513 0.462
0.988 0.988 0.036
0.749 0.749 0.753
0.250 0.250 0.249

---

Entry 4:
TcBr2Cl, optimized geometry, DFT GGA-PBE; distance to the lowest polymorph of the same formula = 0.591 eV per atom; calculated density = 4.3 Mg/m³; raw formation energy = 0.26 eV/atom
1.0
7.116 0.000 0.000
0.000 7.116 0.000
3.558 3.558 4.495
Tc Br Cl
2 4 2
Direct
0.000 0.000 0.000
0.750 0.250 0.500
0.713 0.125 0.250
0.037 0.625 0.250
0.375 0.287 0.750
0.875 0.963 0.750
0.500 0.500 0.000
0.250 0.750 0.500

---

| no. | M_tot (μB per cell) |
| --- | --- |
| 1 | 0.00 |
| 2 | 1.94 |
| 3 | 0.00 |
| 4 | 0.00 |